! PBE-GGA DyGa5Co, optimized geometry; values from VASP
! VASP energy: -30.13 eV/cell
&SYSTEM
  ibrav = 0, nat = 7, ntyp = 3
/
ATOMIC_SPECIES
Co 58.93 Co.upf
Dy 162.50 Dy.upf
Ga 69.72 Ga.upf
ATOMIC_POSITIONS angstrom
Co -0.030 1.595 3.006
Dy 0.000 0.000 0.000
Ga -2.301 -1.685 0.871
Ga -2.118 1.160 1.755
Ga -0.221 -0.865 2.848
Ga -2.140 2.370 4.035
Ga -0.244 0.345 5.128
CELL_PARAMETERS angstrom
-4.198 0.340 -0.222
-0.405 -3.710 1.964
-0.060 3.190 6.012